The following is a PBE-GGA calculation of K4RuAu after structural relaxation, from the Alexandria database.

Summary:
- SG = F-43m
- mass density (g/cm³) = 3.32
- energy (eV/atom) = -1.831

abc: 6.849 6.849 6.849
angles: 60.00 60.00 60.00
Atoms (fractional coordinates):
K: 0.376 0.376 0.376
K: 0.376 0.376 0.873
K: 0.376 0.873 0.376
K: 0.873 0.376 0.376
Ru: 0.000 0.000 0.000
Au: 0.750 0.750 0.750